Entry 1:
This record from Alexandria describes a geometry-optimized FePt2I structure. The functional is PBE.

Calculated values
total magnetization = 3.35 μB per formula unit
offset from the most stable computed form = 0.00 eV/f.u.
energy relative to the elements, uncorrected = 627 meV per atom

The structure in extended XYZ format:
```
4
Lattice="0.0000 3.2947 3.2947 3.2947 0.0000 3.2947 3.2947 3.2947 0.0000" Properties=species:S:1:pos:R:3 pbc="T T T"
I 3.2947 3.2947 3.2947
Pt 1.6473 1.6473 1.6473
Pt 4.9420 4.9420 4.9420
Fe 0.0000 0.0000 0.0000
```

---

Entry 2:
This record from Alexandria describes a geometry-optimized CaPrAlCd structure. The functional is PBE.

Calculated values
total magnetization = 0.00 μB per formula unit
offset from the most stable computed form = 0.06 eV/f.u.
calculated formation energy = -313 meV per atom

The structure in extended XYZ format:
```
4
Lattice="3.7121 0.0000 0.0000 0.0000 3.7121 0.0000 0.0000 0.0000 7.9608" Properties=species:S:1:pos:R:3 pbc="T T T"
Ca 1.8560 1.8560 4.7656
Cd 0.0000 0.0000 6.7476
Pr 1.8560 1.8560 0.9602
Al 0.0000 0.0000 2.8747
```

---

Entry 3:
This record from Alexandria describes a geometry-optimized RePt2Pb structure. The functional is PBE.

Calculated values
total magnetization = 0.00 μB per formula unit
calculated formation energy = 697 meV per atom

The structure in extended XYZ format:
```
8
Lattice="-4.2146 1.7920 3.6619 0.8191 -4.7873 3.2855 2.4925 1.5167 6.8212" Properties=species:S:1:pos:R:3 pbc="T T T"
Pb 0.0000 0.0000 0.0000
Pb -1.7099 0.9056 6.9784
Re -1.6977 -1.4976 3.4737
Re 0.8069 -2.3841 6.7902
Pt -1.6932 0.8092 4.2174
Pt -1.1436 -1.2385 11.0269
Pt 0.6379 -0.2304 7.8891
Pt 0.3928 -2.2972 4.4037
```

---

Entry 4:
This record from Alexandria describes a geometry-optimized PrIn2Ru structure. The functional is PBE.

Calculated values
total magnetization = 0.00 μB per formula unit
calculated formation energy = -154 meV per atom

The structure in extended XYZ format:
```
4
Lattice="4.5722 0.0000 0.0000 2.2861 3.9597 0.0000 2.2861 1.3199 5.3817" Properties=species:S:1:pos:R:3 pbc="T T T"
Pr 4.5722 2.6398 2.6909
Ru 0.0000 0.0000 0.0000
In 6.8583 3.9597 4.5601
In 2.2861 1.3199 0.8216
```